[1]
This record from Alexandria via LeMat-Bulk describes an optimized crystal structure of Si3NiMo. The functional is PBE. Values from VASP.

The structure in Quantum ESPRESSO input format:
```
&SYSTEM
  ibrav = 0, nat = 5, ntyp = 3
/
ATOMIC_SPECIES
Mo 95.94 Mo.upf
Si 28.09 Si.upf
Ni 58.69 Ni.upf
ATOMIC_POSITIONS angstrom
Mo 2.151 -2.954 -0.859
Si 1.746 -0.642 1.112
Si 1.087 -0.258 -1.857
Si -0.682 -2.054 -0.114
Ni 0.000 0.000 0.000
CELL_PARAMETERS angstrom
-1.364 -4.108 -0.228
2.175 -0.516 -3.714
3.493 -1.283 2.223
```

## Properties
Energy above the most stable polymorph in this dataset (meV/atom): 0
Size of the total moment (μB per atom): 0.456
Formation energy (no corrections) (eV per atom): 0.809
DOS at the Fermi energy (states/eV per atom): 0.76

***

[2]
This record from Alexandria via LeMat-Bulk describes an optimized crystal structure of ZnSiTc3. The functional is PBE. Values from VASP.

The structure in Quantum ESPRESSO input format:
```
&SYSTEM
  ibrav = 0, nat = 5, ntyp = 3
/
ATOMIC_SPECIES
Si 28.09 Si.upf
Tc 98.00 Tc.upf
Zn 65.41 Zn.upf
ATOMIC_POSITIONS angstrom
Si 0.000 0.000 0.000
Tc -1.780 -1.279 -0.218
Tc -0.817 0.818 1.874
Tc 1.007 -1.596 1.136
Zn -1.590 -2.056 2.792
CELL_PARAMETERS angstrom
-3.560 -2.557 -0.436
2.014 -3.191 2.272
-1.635 1.637 3.749
```

## Properties
Energy above the most stable polymorph in this dataset (meV/atom): 0
Size of the total moment (μB per atom): 0.000
Formation energy (no corrections) (eV per atom): 0.872
DOS at the Fermi energy (states/eV per atom): 1.09

***

[3]
This record from Alexandria via LeMat-Bulk describes an optimized crystal structure of CaTl2Se2. The functional is PBE. Values from VASP.

The structure in Quantum ESPRESSO input format:
```
&SYSTEM
  ibrav = 0, nat = 10, ntyp = 3
/
ATOMIC_SPECIES
Ca 40.08 Ca.upf
Se 78.96 Se.upf
Tl 204.38 Tl.upf
ATOMIC_POSITIONS angstrom
Ca 0.561 -2.000 -5.269
Ca 0.000 0.000 0.000
Se -1.747 -0.185 -5.361
Se 0.224 -2.574 -8.130
Se 2.870 -3.815 -5.176
Se 0.899 -1.426 -2.407
Tl -2.995 -2.729 -6.735
Tl -2.171 -2.130 -2.467
Tl 1.215 -4.909 -2.730
Tl 0.390 -5.509 -6.999
CELL_PARAMETERS angstrom
-3.900 1.076 -6.912
5.023 -5.077 -3.625
-2.903 -3.638 1.072
```

## Properties
Size of the total moment (μB per atom): 0.000
Formation energy (no corrections) (eV per atom): -0.720
DOS at the Fermi energy (states/eV per atom): 0.14

***

[4]
This record from Alexandria via LeMat-Bulk describes an optimized crystal structure of MgOsW2. The functional is PBE. Values from VASP.

The structure in Quantum ESPRESSO input format:
```
&SYSTEM
  ibrav = 0, nat = 4, ntyp = 3
/
ATOMIC_SPECIES
W 183.84 W.upf
Mg 24.30 Mg.upf
Os 190.23 Os.upf
ATOMIC_POSITIONS angstrom
W 0.000 0.000 0.000
W 0.707 -1.883 2.522
Mg 1.298 -2.437 -0.120
Os -0.962 -2.530 -1.566
CELL_PARAMETERS angstrom
-0.370 -3.085 -4.208
2.967 -1.790 3.967
-1.553 -1.976 1.077
```

## Properties
Size of the total moment (μB per atom): 0.000
Energy of formation (eV per atom): 0.33
DOS at the Fermi energy (states/eV per atom): 1.01

***

[5]
This record from Alexandria via LeMat-Bulk describes an optimized crystal structure of BaBCl3. The functional is PBE. Values from VASP.

The structure in Quantum ESPRESSO input format:
```
&SYSTEM
  ibrav = 0, nat = 5, ntyp = 3
/
ATOMIC_SPECIES
Cl 35.45 Cl.upf
B 10.81 B.upf
Ba 137.33 Ba.upf
ATOMIC_POSITIONS angstrom
Cl 2.216 0.824 0.643
Cl -0.864 2.292 0.043
Cl -0.587 -0.266 2.364
B 0.000 0.000 0.000
Ba 0.765 2.850 3.049
CELL_PARAMETERS angstrom
-1.729 4.584 0.086
-1.174 -0.531 4.728
4.432 1.647 1.286
```

## Properties
Energy above the most stable polymorph in this dataset (meV/atom): 0
Size of the total moment (μB per atom): 0.000
Formation energy (no corrections) (eV per atom): -0.846
DOS at the Fermi energy (states/eV per atom): 0.00

***

[6]
This record from Alexandria via LeMat-Bulk describes an optimized crystal structure of HfPaO4. The functional is PBE. Values from VASP.

The structure in Quantum ESPRESSO input format:
```
&SYSTEM
  ibrav = 0, nat = 12, ntyp = 3
/
ATOMIC_SPECIES
Pa 231.04 Pa.upf
Hf 178.49 Hf.upf
O 16.00 O.upf
ATOMIC_POSITIONS angstrom
Pa 2.542 2.513 -1.663
Pa 0.000 -0.077 3.447
Hf 0.000 0.000 0.000
Hf 2.542 2.435 1.783
O 3.596 3.341 3.396
O 1.679 1.395 3.363
O 4.031 0.905 1.613
O 4.221 0.885 5.313
O 1.489 1.530 0.170
O 1.054 3.965 1.953
O 3.406 3.475 0.203
O 0.863 3.986 -1.747
CELL_PARAMETERS angstrom
5.085 0.000 0.000
0.000 5.025 -3.327
0.000 -0.155 6.893
```

## Properties
Size of the total moment (μB per atom): 0.168
Formation energy (no corrections) (eV per atom): -3.427
DOS at the Fermi energy (states/eV per atom): 0.39

***

[7]
This record from Alexandria via LeMat-Bulk describes an optimized crystal structure of Pm2Ga6Ir. The functional is PBE. Values from VASP.

The structure in Quantum ESPRESSO input format:
```
&SYSTEM
  ibrav = 0, nat = 9, ntyp = 3
/
ATOMIC_SPECIES
Ga 69.72 Ga.upf
Ir 192.22 Ir.upf
Pm 145.00 Pm.upf
ATOMIC_POSITIONS angstrom
Ga -6.417 0.662 0.972
Ga -4.770 3.066 -1.698
Ga -8.080 2.729 1.983
Ga -5.670 0.373 -1.658
Ga -5.517 3.355 0.932
Ga -3.107 0.998 -2.709
Ir 0.000 0.000 0.000
Pm -3.383 1.139 0.540
Pm -7.803 2.589 -1.266
CELL_PARAMETERS angstrom
-2.247 0.676 -5.084
-5.421 -1.322 2.221
-3.518 4.374 2.137
```

## Properties
Energy above the most stable polymorph in this dataset (meV/atom): 67
Size of the total moment (μB per atom): 0.000
Energy of formation (eV per atom): -0.58
DOS at the Fermi energy (states/eV per atom): 0.85

***

[8]
This record from Alexandria via LeMat-Bulk describes an optimized crystal structure of TlSb2Mo. The functional is PBE. Values from VASP.

The structure in Quantum ESPRESSO input format:
```
&SYSTEM
  ibrav = 0, nat = 4, ntyp = 3
/
ATOMIC_SPECIES
Mo 95.94 Mo.upf
Sb 121.76 Sb.upf
Tl 204.38 Tl.upf
ATOMIC_POSITIONS angstrom
Mo -12.874 -1.045 -1.670
Sb -5.530 -1.428 -0.423
Sb -2.539 -2.282 0.296
Tl -8.852 -2.187 -0.706
CELL_PARAMETERS angstrom
-9.635 -0.275 0.356
-9.149 -1.226 -2.801
-1.079 -3.128 0.776
```

## Properties
Energy above the most stable polymorph in this dataset (meV/atom): 8
Size of the total moment (μB per atom): 0.000
Formation energy (no corrections) (eV per atom): 0.092
DOS at the Fermi energy (states/eV per atom): 0.78

***

[9]
This record from Alexandria via LeMat-Bulk describes an optimized crystal structure of V4MoRu3. The functional is PBE. Values from VASP.

The structure in Quantum ESPRESSO input format:
```
&SYSTEM
  ibrav = 0, nat = 8, ntyp = 3
/
ATOMIC_SPECIES
Mo 95.94 Mo.upf
V 50.94 V.upf
Ru 101.07 Ru.upf
ATOMIC_POSITIONS angstrom
Mo 1.511 2.140 0.000
V 0.000 2.140 6.461
V 0.000 0.000 0.000
V 0.000 2.140 2.099
V 0.000 0.000 4.280
Ru 1.511 0.000 6.370
Ru 1.511 0.000 2.190
Ru 1.511 2.140 4.280
CELL_PARAMETERS angstrom
3.022 0.000 0.000
0.000 4.280 0.000
0.000 0.000 8.560
```

## Properties
Size of the total moment (μB per atom): 0.000
Energy of formation (eV per atom): -0.26
DOS at the Fermi energy (states/eV per atom): 0.96

***

[10]
This record from Alexandria via LeMat-Bulk describes an optimized crystal structure of Tb4Pm3Rh4. The functional is PBE. Values from VASP.

The structure in Quantum ESPRESSO input format:
```
&SYSTEM
  ibrav = 0, nat = 11, ntyp = 3
/
ATOMIC_SPECIES
Tb 158.93 Tb.upf
Rh 102.91 Rh.upf
Pm 145.00 Pm.upf
ATOMIC_POSITIONS angstrom
Tb 1.921 6.138 2.655
Tb 0.000 1.676 5.329
Tb 0.000 -1.676 5.329
Tb 1.921 2.785 2.655
Rh 1.921 0.000 4.037
Rh 0.000 4.461 3.948
Rh 1.921 1.962 0.000
Rh 1.921 6.961 0.000
Pm 0.000 4.461 0.000
Pm 1.921 4.461 6.362
Pm 0.000 0.000 1.622
CELL_PARAMETERS angstrom
3.843 0.000 0.000
0.000 8.923 0.000
-1.921 -4.461 7.984
```

## Properties
Size of the total moment (μB per atom): 0.000
Energy of formation (eV per atom): -0.58
DOS at the Fermi energy (states/eV per atom): 0.78

***

[11]
This record from Alexandria via LeMat-Bulk describes an optimized crystal structure of Ba2GdIn. The functional is PBE. Values from VASP.

The structure in Quantum ESPRESSO input format:
```
&SYSTEM
  ibrav = 0, nat = 4, ntyp = 3
/
ATOMIC_SPECIES
Ba 137.33 Ba.upf
Gd 157.25 Gd.upf
In 114.82 In.upf
ATOMIC_POSITIONS angstrom
Ba -6.584 3.938 1.016
Ba -1.765 8.883 2.901
Gd 0.000 0.000 0.000
In -4.174 6.411 1.959
CELL_PARAMETERS angstrom
-3.305 0.845 -1.942
-3.478 -0.403 1.775
-1.566 12.380 4.084
```

## Properties
Size of the total moment (μB per atom): 1.892
Energy of formation (eV per atom): 0.19
DOS at the Fermi energy (states/eV per atom): 2.48

***

[12]
This record from Alexandria via LeMat-Bulk describes an optimized crystal structure of Tb3Ga5Au6. The functional is PBE. Values from VASP.

The structure in Quantum ESPRESSO input format:
```
&SYSTEM
  ibrav = 0, nat = 28, ntyp = 3
/
ATOMIC_SPECIES
Ga 69.72 Ga.upf
Au 196.97 Au.upf
Tb 158.93 Tb.upf
ATOMIC_POSITIONS angstrom
Ga 2.177 4.301 5.260
Ga 2.177 1.363 2.249
Ga 2.177 1.363 11.230
Ga 0.000 5.207 1.479
Ga 2.177 4.301 8.219
Ga 0.000 8.146 8.989
Ga 0.000 8.146 4.490
Ga 0.000 5.207 12.000
Ga 0.000 7.574 0.000
Ga 2.177 1.934 6.740
Au 2.177 9.321 0.000
Au 2.177 3.886 2.650
Au 0.000 9.494 2.081
Au 0.000 0.187 6.740
Au 2.177 0.015 8.821
Au 0.000 5.623 4.089
Au 2.177 0.015 4.659
Au 0.000 4.710 6.740
Au 0.000 5.623 9.390
Au 0.000 9.494 11.398
Au 2.177 4.799 0.000
Au 2.177 3.886 10.829
Tb 2.177 7.223 2.391
Tb 2.177 7.223 11.088
Tb 2.177 7.189 6.740
Tb 0.000 2.320 0.000
Tb 0.000 2.285 9.131
Tb 0.000 2.285 4.348
CELL_PARAMETERS angstrom
4.355 0.000 0.000
0.000 9.509 0.000
0.000 0.000 13.479
```

## Properties
Size of the total moment (μB per atom): 0.000
Energy of formation (eV per atom): -0.63
DOS at the Fermi energy (states/eV per atom): 0.56

***

> What is the DOS at the Fermi energy in the ninth record?

0.96 states/eV per atom